1.
DFT (GGA-PBE) results for crystalline Re2AgBr at its relaxed geometry.

a = 3.0002 Å, b = 3.0006 Å, c = 8.2701 Å
α = 90.00°, β = 90.00°, γ = 90.00°
Positions (direct):
Re  0.0000  0.0000  0.0328
Re  0.5000  0.5000  0.2118
Br  0.5000  0.5000  0.7887
Ag  0.0000  0.0000  0.4666

Output
* offset from the most stable computed form: 125 meV per atom


2.
DFT (GGA-PBE) results for crystalline Re2AgBr at its relaxed geometry.

a = 2.8401 Å, b = 2.8401 Å, c = 10.0643 Å
α = 90.00°, β = 90.00°, γ = 117.71°
Positions (direct):
Re  0.0000  0.0000  0.0250
Re  0.5000  0.5000  0.2310
Br  0.5000  0.5000  0.7633
Ag  0.0000  0.0000  0.4807

Output
* offset from the most stable computed form: 271 meV per atom


3.
DFT (GGA-PBE) results for crystalline Re2AgBr at its relaxed geometry.

a = 3.1032 Å, b = 3.1032 Å, c = 6.6359 Å
α = 90.00°, β = 90.00°, γ = 90.00°
Positions (direct):
Re  0.0000  0.0000  0.9824
Re  0.0000  0.0000  0.5176
Br  0.5000  0.5000  0.7500
Ag  0.5000  0.5000  0.2500

Output
* offset from the most stable computed form: 1064 meV per atom


4.
DFT (GGA-PBE) results for crystalline Re2AgBr at its relaxed geometry.

a = 3.0357 Å, b = 3.0857 Å, c = 8.1843 Å
α = 79.83°, β = 90.00°, γ = 90.00°
Positions (direct):
Re  0.0000  0.7893  0.0408
Re  0.5000  0.2086  0.2135
Br  0.5000  0.9155  0.7740
Ag  0.0000  0.5865  0.4717

Output
* offset from the most stable computed form: 0 meV per atom


5.
DFT (GGA-PBE) results for crystalline ReAg2Br at its relaxed geometry.

a = 5.1685 Å, b = 5.1685 Å, c = 5.1685 Å
α = 131.28°, β = 131.28°, γ = 71.37°
Last column: magnetic moment on the atom in μB.
Positions (direct):
Re  0.7500  0.2500  0.5000  2.45
Br  0.5000  0.5000  0.0000  0.06
Ag  0.0000  0.0000  0.0000  0.06
Ag  0.2500  0.7500  0.5000  0.03

Output
* offset from the most stable computed form: 632 meV per atom


6.
DFT (GGA-PBE) results for crystalline Re4AgBr at its relaxed geometry.

a = 5.2912 Å, b = 5.2912 Å, c = 5.2912 Å
α = 60.00°, β = 60.00°, γ = 60.00°
Positions (direct):
Re  0.6255  0.6255  0.1235
Re  0.6255  0.1235  0.6255
Re  0.6255  0.6255  0.6255
Re  0.1235  0.6255  0.6255
Ag  0.2500  0.2500  0.2500
Br  0.0000  0.0000  0.0000

Output
* total energy: -7.82 eV per atom


7.
DFT (GGA-PBE) results for crystalline ReAg2Br at its relaxed geometry.

a = 2.8302 Å, b = 2.8302 Å, c = 9.7926 Å
α = 90.00°, β = 90.00°, γ = 90.00°
Positions (direct):
Re  0.5000  0.5000  0.7500
Br  0.5000  0.5000  0.2500
Ag  0.0000  0.0000  0.9631
Ag  0.0000  0.0000  0.5369

Output
* offset from the most stable computed form: 145 meV per atom


8.
DFT (GGA-PBE) results for crystalline Re2AgBr at its relaxed geometry.

a = 3.8548 Å, b = 3.8548 Å, c = 10.8429 Å
α = 79.76°, β = 79.76°, γ = 90.00°
Positions (direct):
Re  0.6895  0.1250  0.2500
Re  0.0605  0.6250  0.2500
Re  0.3750  0.3105  0.7500
Re  0.8750  0.9395  0.7500
Br  0.5000  0.5000  0.0000
Br  0.2500  0.7500  0.5000
Ag  0.0000  0.0000  0.0000
Ag  0.7500  0.2500  0.5000

Output
* offset from the most stable computed form: 796 meV per atom


Number 1: spin magnetization 0.000 μB/atom. Number 2: spin magnetization 0.000 μB/atom. Number 3: spin magnetization 0.000 μB/atom. Number 4: spin magnetization 0.000 μB/atom. Number 5: spin magnetization 0.733 μB/atom. Number 6: spin magnetization 0.000 μB/atom. Number 7: spin magnetization 0.000 μB/atom. Number 8: spin magnetization 0.000 μB/atom.